A plane-wave DFT calculation with GGA-PBE was carried out for Na4TmTh3Te8 after structural relaxation.

Cell: 8.768 9.299 8.769 Å, 118.15 120.00 90.00°
Element x y z (fractional)
Na  0.500  0.000  0.000
Na  0.500  0.000  0.500
Na  0.000  0.000  0.000
Na  0.000  0.000  0.500
Tm  0.000  0.500  0.000
Th  0.500  0.500  0.000
Th  0.500  0.500  0.500
Th  0.000  0.500  0.500
Te  0.242  0.739  0.997
Te  0.242  0.739  0.484
Te  0.251  0.252  0.501
Te  0.755  0.739  0.997
Te  0.245  0.261  0.003
Te  0.749  0.748  0.499
Te  0.758  0.261  0.516
Te  0.758  0.261  0.003

Values from the calculation:
The space-group type is R-3m, No. 166. The calculation puts the uncorrected formation energy at -1136.8 meV/atom.


A plane-wave DFT calculation with GGA-PBE was carried out for Pr8Nd3Dy2 after structural relaxation.

Cell: 6.277 8.983 8.983 Å, 83.88 73.04 73.04°
Element x y z (fractional)
Pr  0.212  0.557  0.557
Pr  0.788  0.443  0.443
Pr  0.950  0.153  0.153
Pr  0.050  0.847  0.847
Pr  0.672  0.571  0.082
Pr  0.672  0.082  0.571
Pr  0.328  0.918  0.429
Pr  0.328  0.429  0.918
Nd  0.500  0.000  0.000
Nd  0.000  0.245  0.755
Nd  0.000  0.755  0.245
Dy  0.357  0.289  0.289
Dy  0.643  0.711  0.711

Values from the calculation:
The space-group type is C2/m, No. 12. The excess energy over the best structure of this formula in the dataset is 0 meV per atom. The value obtained for the energy of formation from the pure elements is 1.9 eV per formula unit.


A plane-wave DFT calculation with GGA-PBE was carried out for Li2RuSe after structural relaxation.

Cell: 2.958 2.958 8.834 Å, 90.00 90.00 117.48°
Element x y z (fractional)
Li  0.000  0.000  0.974
Li  0.500  0.500  0.272
Ru  0.000  0.000  0.519
Se  0.500  0.500  0.734

Values from the calculation:
The space-group type is Cmm2, No. 35. The calculation puts the uncorrected formation energy at 170.9 meV/atom.


A plane-wave DFT calculation with GGA-PBE was carried out for KBi2Se after structural relaxation.

Cell: 9.597 9.597 7.457 Å, 49.95 49.95 90.00°
Element x y z (fractional)
K  0.500  0.500  0.000
K  0.250  0.750  0.500
Bi  0.692  0.125  0.250
Bi  0.058  0.625  0.250
Bi  0.375  0.308  0.750
Bi  0.875  0.942  0.750
Se  0.000  0.000  0.000
Se  0.750  0.250  0.500

Values from the calculation:
The space-group type is I-42d, No. 122. The calculation puts the uncorrected formation energy at -165.7 meV/atom.


A plane-wave DFT calculation with GGA-PBE was carried out for NpCoCuH6 after structural relaxation.

Cell: 4.379 4.379 4.194 Å, 90.00 90.00 60.00°
Site moments in Bohr magnetons follow the coordinates.
Element x y z (fractional)
Np  0.000  0.000  0.000  3.76
Co  0.333  0.333  0.500  -0.10
Cu  0.667  0.667  0.500  -0.01
H  0.021  0.489  0.238  -0.01
H  0.489  0.021  0.762  -0.01
H  0.489  0.490  0.762  -0.01
H  0.021  0.490  0.762  -0.01
H  0.489  0.490  0.238  -0.01
H  0.489  0.021  0.238  -0.01

Values from the calculation:
The space-group type is P-6m2, No. 187.


A plane-wave DFT calculation with GGA-PBE was carried out for BaIn2Se after structural relaxation.

Cell: 4.600 4.591 6.056 Å, 90.00 90.00 90.00°
Element x y z (fractional)
Ba  0.000  0.500  0.500
In  0.000  0.000  0.000
In  0.500  0.500  0.000
Se  0.500  0.000  0.500

Values from the calculation:
The space-group type is P4/mmm, No. 123. The calculation puts the uncorrected formation energy at -665.4 meV/atom.


A plane-wave DFT calculation with GGA-PBE was carried out for Li3Zr3TiTe8 after structural relaxation.

Cell: 7.977 7.972 8.598 Å, 117.57 90.01 120.03°
Site moments in Bohr magnetons follow the coordinates.
Element x y z (fractional)
Li  0.000  0.000  0.000  0.00
Li  0.000  0.500  0.000  0.00
Li  0.500  0.500  0.000  0.00
Zr  0.500  0.000  0.500  0.05
Zr  0.500  0.500  0.500  0.06
Zr  0.000  0.500  0.500  0.05
Ti  0.000  0.000  0.500  0.59
Te  0.250  0.499  0.249  0.00
Te  0.750  0.501  0.751  0.00
Te  0.756  0.512  0.257  -0.01
Te  0.244  0.488  0.743  -0.01
Te  0.756  0.001  0.257  -0.01
Te  0.244  0.999  0.743  -0.01
Te  0.244  0.001  0.257  -0.01
Te  0.756  0.999  0.743  -0.01

Values from the calculation:
The space-group type is C2/m, No. 12. The calculation puts the uncorrected formation energy at -877.9 meV/atom.


A plane-wave DFT calculation with GGA-PBE was carried out for Pm12In6Pt after structural relaxation.

Cell: 8.442 8.442 8.442 Å, 93.33 93.33 93.33°
Element x y z (fractional)
Pm  0.801  0.561  0.448
Pm  0.448  0.801  0.561
Pm  0.561  0.448  0.801
Pm  0.199  0.439  0.552
Pm  0.552  0.199  0.439
Pm  0.439  0.552  0.199
Pm  0.990  0.103  0.330
Pm  0.897  0.670  0.010
Pm  0.670  0.010  0.897
Pm  0.010  0.897  0.670
Pm  0.103  0.330  0.990
Pm  0.330  0.990  0.103
In  0.675  0.867  0.269
In  0.731  0.325  0.133
In  0.133  0.731  0.325
In  0.325  0.133  0.731
In  0.269  0.675  0.867
In  0.867  0.269  0.675
Pt  0.000  0.000  0.000

Values from the calculation:
The space-group type is R-3, No. 148. The value obtained for the energy of formation from the pure elements is -5.6 eV per formula unit.


| no. | DOS at the Fermi energy (states/eV per cell) | E_tot (eV/atom) |
| --- | --- | --- |
| 1 | 9.04 | -4.71 |
| 2 | 22.78 | -4.60 |
| 3 | 4.03 | -3.98 |
| 4 | 6.47 | -3.25 |
| 5 | 11.79 | -5.03 |
| 6 | 2.28 | -3.39 |
| 7 | 8.69 | -5.17 |
| 8 | 21.72 | -4.48 |